No. 1
MnNbSe4 | PBE | optimized geometry

Cell: 6.3191 7.3433 7.6533 Å, 118.67 109.30 90.00°
With the nearest neighbours (Å) after each atom.
Positions (direct):
Se: 0.2696 0.9667 0.7042  1 Nb 2.46, 1 Mn 2.55
Se: 0.3195 0.5324 0.8194  1 Mn 2.51, 2 Nb 2.59-2.75
Nb: 0.2500 0.3026 0.0000  6 Se 2.46-2.75
Mn: 0.0000 0.5000 0.5000  4 Se 2.51-2.55
Mn: 0.5000 0.0000 0.5000  4 Se 2.51-2.55
Se: 0.2304 0.2624 0.2958  1 Nb 2.46, 1 Mn 2.55
Se: 0.8195 0.2870 0.8194  1 Mn 2.51, 2 Nb 2.59-2.75
Se: 0.1805 0.7130 0.1806  1 Mn 2.51, 2 Nb 2.59-2.75
Se: 0.6805 0.4676 0.1806  1 Mn 2.51, 2 Nb 2.59-2.75
Se: 0.7696 0.7376 0.7042  1 Nb 2.46, 1 Mn 2.55
Nb: 0.7500 0.6974 0.0000  6 Se 2.46-2.75
Se: 0.7304 0.0333 0.2958  1 Nb 2.46, 1 Mn 2.55

Computed properties:
Total magnetization: 4.20 μB per formula unit
Space group: C2/c (15)
VASP energy: -5.897 eV/atom

=====

No. 2
Mn2NbSe6 | PBE | optimized geometry

Cell: 4.8157 6.7548 7.5232 Å, 69.69 71.33 69.12°
With the nearest neighbours (Å) after each atom.
Positions (direct):
Se: 0.9657 0.8528 0.2157  2 Mn 2.46-2.52, 1 Nb 2.59
Se: 0.3673 0.6824 0.5829  1 Mn 2.46
Se: 0.0343 0.1472 0.7843  2 Mn 2.46-2.52, 1 Nb 2.59
Nb: 0.0000 0.5000 0.5000  8 Se 2.59-2.88
Se: 0.7518 0.6469 0.8494  3 Mn 2.54-2.55
Se: 0.2482 0.3531 0.1506  3 Mn 2.54-2.55
Mn: 0.1760 0.7348 0.9133  6 Se 2.46-2.55
Mn: 0.8240 0.2652 0.0867  6 Se 2.46-2.55
Se: 0.6327 0.3176 0.4171  1 Mn 2.46

Computed properties:
Energy above the lowest structure with this stoichiometry: 0.226 eV per atom
Total magnetization: 7.02 μB per formula unit
Space group: C2/m (12)

=====

No. 3
MnNbSe4 | PBE | optimized geometry

Cell: 3.4973 5.9957 7.5741 Å, 67.56 76.66 90.00°
With the nearest neighbours (Å) after each atom.
Positions (direct):
Se: 0.6134 0.9575 0.7730  2 Mn 2.50, 1 Nb 2.59
Mn: 0.0000 0.0000 0.0000  6 Se 2.50
Se: 0.1188 0.4339 0.7622  1 Mn 2.50, 2 Nb 2.61
Nb: 0.5000 0.5000 0.0000  6 Se 2.59-2.61
Se: 0.3866 0.0425 0.2270  2 Mn 2.50, 1 Nb 2.59
Se: 0.8812 0.5661 0.2378  1 Mn 2.50, 2 Nb 2.61

Computed properties:
Total magnetization: 2.56 μB per formula unit
Space group: C2/m (12)
VASP energy: -6.135 eV/atom

=====

No. 4
MnNb4Se8 | PBE | optimized geometry

Cell: 7.4715 7.4715 7.4715 Å, 60.00 60.00 60.00°
With the nearest neighbours (Å) after each atom.
Positions (direct):
Nb: 0.3541 0.3541 0.3541  6 Se 2.56-2.79
Se: 0.1581 0.6140 0.6140  1 Mn 2.49, 3 Nb 2.79
Se: 0.6528 0.1157 0.1157  3 Nb 2.56
Se: 0.6140 0.1581 0.6140  1 Mn 2.49, 3 Nb 2.79
Se: 0.1157 0.1157 0.1157  3 Nb 2.56
Se: 0.1157 0.6528 0.1157  3 Nb 2.56
Nb: 0.9378 0.3541 0.3541  6 Se 2.56-2.79
Mn: 0.7500 0.7500 0.7500  4 Se 2.49
Nb: 0.3541 0.3541 0.9378  6 Se 2.56-2.79
Nb: 0.3541 0.9378 0.3541  6 Se 2.56-2.79
Se: 0.6140 0.6140 0.6140  1 Mn 2.49, 3 Nb 2.79
Se: 0.1157 0.1157 0.6528  3 Nb 2.56
Se: 0.6140 0.6140 0.1581  1 Mn 2.49, 3 Nb 2.79

Computed properties:
Energy above the lowest structure with this stoichiometry: 0.089 eV per atom
Total magnetization: 5.01 μB per formula unit
Space group: F-43m (216)